1.
Computed, not measured: a relaxed structure of KSbW2 at the PBE-GGA level of DFT.

Structure (POSCAR):
```
KSbW2
1.0
4.274 -1.548 0.000
4.274 1.548 0.000
-0.810 0.000 7.807
K Sb W
1 1 2
Direct
0.000 0.000 0.000 K
0.239 0.239 0.663 Sb
0.502 0.502 0.468 W
0.777 0.777 0.344 W
```

Results
As for the total energy: -7.07 eV/atom. The energy relative to the elements, uncorrected is 0.714 eV/atom. The volume is 103 Å³/f.u. The space-group type is Cm (8).

***

2.
Computed, not measured: a relaxed structure of SrZrAg at the PBE-GGA level of DFT.

Structure (POSCAR):
```
SrZrAg
1.0
-1.782 1.782 6.615
1.782 -1.782 6.615
1.782 1.782 -6.615
Sr Zr Ag
1 1 1
Direct
0.000 0.000 0.000 Sr
0.710 0.710 0.000 Zr
0.319 0.319 0.000 Ag
```

Results
As for the total energy: -4.18 eV/atom. The volume is 84 Å³/f.u. The energy relative to the lowest polymorph listed for this composition is 0 meV per atom. The calculation puts the formation energy at 0.18 eV/atom. The space-group type is I4mm (107).

***

3.
Computed, not measured: a relaxed structure of PbS2NCl at the PBE-GGA level of DFT.

Structure (POSCAR):
```
PbS2NCl
1.0
4.115 0.000 0.000
0.000 4.115 0.000
0.000 0.000 7.822
Pb S N Cl
1 2 1 1
Direct
0.000 0.000 0.000 Pb
0.000 0.500 0.500 S
0.500 0.000 0.500 S
0.500 0.500 0.500 N
0.500 0.500 0.000 Cl
```

Results
As for the total energy: -3.67 eV/atom. The energy relative to the elements, uncorrected is 0.753 eV/atom. The volume is 132 Å³/f.u. The energy relative to the lowest polymorph listed for this composition is 0 meV per atom. The space-group type is P4/mmm (123).

***

4.
Computed, not measured: a relaxed structure of BeAl2Cd2 at the PBE-GGA level of DFT.

Structure (POSCAR):
```
BeAl2Cd2
1.0
6.374 0.000 0.000
0.000 6.374 0.000
0.000 0.000 4.640
Be Al Cd
2 4 4
Direct
0.000 0.000 0.000 Be
0.500 0.500 0.000 Be
0.149 0.351 0.000 Al
0.351 0.851 0.000 Al
0.649 0.149 0.000 Al
0.851 0.649 0.000 Al
0.168 0.668 0.500 Cd
0.332 0.168 0.500 Cd
0.668 0.832 0.500 Cd
0.832 0.332 0.500 Cd
```

Results
As for the total energy: -2.29 eV/atom. The volume is 94 Å³/f.u. The energy relative to the lowest polymorph listed for this composition is 0 meV per atom. The calculation puts the formation energy at 0.32 eV/atom. The space-group type is P4/mbm (127).

***

5.
Computed, not measured: a relaxed structure of Tb2DyErSc at the PBE-GGA level of DFT.

Structure (POSCAR):
```
Tb2DyErSc
1.0
4.076 -5.591 0.000
4.076 5.591 0.000
0.000 0.000 7.064
Tb Dy Er Sc
4 2 2 2
Direct
0.198 0.198 0.000 Tb
0.198 0.198 0.500 Tb
0.802 0.802 0.000 Tb
0.802 0.802 0.500 Tb
0.231 0.769 0.750 Dy
0.769 0.231 0.250 Dy
0.231 0.769 0.250 Er
0.769 0.231 0.750 Er
0.499 0.501 0.750 Sc
0.501 0.499 0.250 Sc
```

Results
As for the total energy: -4.59 eV/atom. The volume is 161 Å³/f.u. The calculation puts the formation energy at 0.36 eV/atom. The space-group type is Cmcm (63).

***

6.
Computed, not measured: a relaxed structure of Tm7Sc3Cd at the PBE-GGA level of DFT.

Structure (POSCAR):
```
Tm7Sc3Cd
1.0
6.755 0.000 0.000
-3.377 5.850 0.000
0.000 0.000 8.142
Tm Sc Cd
7 3 1
Direct
0.000 0.000 0.000 Tm
0.002 0.501 0.998 Tm
0.327 0.164 0.658 Tm
0.499 0.501 0.998 Tm
0.499 0.998 0.998 Tm
0.836 0.164 0.658 Tm
0.836 0.673 0.658 Tm
0.166 0.331 0.327 Sc
0.166 0.834 0.327 Sc
0.669 0.834 0.327 Sc
0.333 0.667 0.651 Cd
```

Results
As for the total energy: -4.46 eV/atom. The volume is 322 Å³/f.u. The calculation puts the formation energy at 0.20 eV/atom. The space-group type is P3m1 (156).

***

7.
Computed, not measured: a relaxed structure of YBeZn2In at the PBE-GGA level of DFT.

Structure (POSCAR):
```
YBeZn2In
1.0
4.472 0.000 0.000
0.000 4.472 0.000
0.000 0.000 4.805
Y Be Zn In
1 1 2 1
Direct
0.000 0.000 0.000 Y
0.500 0.500 0.500 Be
0.000 0.500 0.500 Zn
0.500 0.000 0.500 Zn
0.500 0.500 0.000 In
```

Results
As for the total energy: -3.07 eV/atom. The volume is 96 Å³/f.u. The calculation puts the formation energy at 0.02 eV/atom. The space-group type is P4/mmm (123).

***

8.
Computed, not measured: a relaxed structure of Ce4Zn5Pd2 at the PBE-GGA level of DFT.

Structure (POSCAR):
```
Ce4Zn5Pd2
1.0
7.098 0.000 0.000
0.000 3.398 0.000
-0.625 0.000 9.582
Ce Zn Pd
4 5 2
Direct
0.128 0.000 0.392 Ce
0.292 0.000 0.959 Ce
0.708 0.000 0.041 Ce
0.872 0.000 0.608 Ce
0.231 0.500 0.671 Zn
0.423 0.500 0.225 Zn
0.500 0.500 0.500 Zn
0.577 0.500 0.775 Zn
0.769 0.500 0.329 Zn
0.046 0.500 0.144 Pd
0.954 0.500 0.856 Pd
```

Results
As for the total energy: -4.04 eV/atom. The volume is 231 Å³/f.u. The calculation puts the formation energy at -0.36 eV/atom. The space-group type is P2/m (10).

***

9.
Computed, not measured: a relaxed structure of Os2RhSe at the PBE-GGA level of DFT.

Structure (POSCAR):
```
Os2RhSe
1.0
-2.002 2.002 3.729
2.002 -2.002 3.729
2.002 2.002 -3.729
Os Rh Se
2 1 1
Direct
0.000 0.000 0.000 Os
0.750 0.250 0.500 Os
0.250 0.750 0.500 Rh
0.500 0.500 0.000 Se
```

Results
As for the total energy: -7.68 eV/atom. The energy relative to the elements, uncorrected is 0.646 eV/atom. The volume is 60 Å³/f.u. The space-group type is I-4m2 (119).

***

10.
Computed, not measured: a relaxed structure of LaTiAlV at the PBE-GGA level of DFT.

Structure (POSCAR):
```
LaTiAlV
1.0
3.369 0.000 0.000
0.000 3.370 0.000
-0.013 0.000 7.352
La Ti Al V
1 1 1 1
Direct
0.000 0.000 0.000 La
0.002 0.000 0.527 Ti
0.501 0.500 0.322 Al
0.502 0.500 0.693 V
```

Results
As for the total energy: -6.38 eV/atom. The volume is 83 Å³/f.u. The energy relative to the lowest polymorph listed for this composition is 0 meV per atom. The calculation puts the formation energy at 0.04 eV/atom. The space-group type is Pm (6).

***

11.
Computed, not measured: a relaxed structure of La2PtBr at the PBE-GGA level of DFT.

Structure (POSCAR):
```
La2PtBr
1.0
3.709 -2.148 0.000
3.709 2.148 0.000
-2.466 0.000 7.860
La Pt Br
2 1 1
Direct
0.233 0.233 0.199 La
0.767 0.767 0.801 La
0.500 0.500 0.000 Pt
0.000 0.000 0.500 Br
```

Results
As for the total energy: -5.74 eV/atom. The energy relative to the elements, uncorrected is -1.350 eV/atom. The volume is 125 Å³/f.u. The energy relative to the lowest polymorph listed for this composition is 0 meV per atom. The space-group type is C2/m (12).

***

12.
Computed, not measured: a relaxed structure of LiMn2AgCl6 at the PBE-GGA level of DFT.

Structure (POSCAR):
```
LiMn2AgCl6
1.0
3.277 1.892 5.872
-3.277 1.892 5.872
0.000 -3.784 5.872
Li Mn Ag Cl
1 2 1 6
Direct
0.000 0.000 0.000 Li
0.312 0.312 0.312 Mn
0.803 0.803 0.803 Mn
0.521 0.521 0.521 Ag
0.071 0.710 0.412 Cl
0.182 0.581 0.939 Cl
0.412 0.071 0.710 Cl
0.581 0.939 0.182 Cl
0.710 0.412 0.071 Cl
0.939 0.182 0.581 Cl
```

Results
As for the total energy: -4.48 eV/atom. The energy relative to the elements, uncorrected is -1.064 eV/atom. The volume is 219 Å³/f.u. The space-group type is R3 (146).